# 1
Material: LaC3N
Method: DFT, PBE-GGA
State: relaxed

a = 3.8311 Å, b = 3.8311 Å, c = 3.8311 Å
α = 90.00°, β = 90.00°, γ = 90.00°
Fractional coordinates of all 5 atoms:
C1 0.0000 0.5000 0.0000
C2 0.0000 0.0000 0.5000
C3 0.5000 0.0000 0.0000
N1 0.0000 0.0000 0.0000
La1 0.5000 0.5000 0.5000

Calculated values
- density (kg/m³) = 5580
- D(E_F) (states/eV/f.u.) = 3.3
- crystal system = cubic
- total magnetization (μB/f.u.) = 0.0
- formation energy without anion corrections (eV/atom) = 2.36
- electronic total energy (eV/atom) = -5.82
- space group = No. 221

=====

# 2
Material: Cr2SiRh
Method: DFT, PBE-GGA
State: relaxed

a = 4.1551 Å, b = 4.1551 Å, c = 4.1551 Å
α = 60.00°, β = 60.00°, γ = 60.00°
Fractional coordinates of all 4 atoms:
Cr1 0.0000 0.0000 0.0000
Cr2 0.7500 0.7500 0.7500
Rh1 0.5000 0.5000 0.5000
Si1 0.2500 0.2500 0.2500

Calculated values
- density (kg/m³) = 7692
- D(E_F) (states/eV/f.u.) = 4.4
- crystal system = cubic
- total magnetization (μB/f.u.) = 1.0
- formation energy without anion corrections (eV/atom) = -0.27
- electronic total energy (eV/atom) = -8.28
- space group = No. 216

=====

# 3
Material: AlTcRu2
Method: DFT, PBE-GGA
State: relaxed

a = 6.8433 Å, b = 6.8433 Å, c = 5.5374 Å
α = 51.84°, β = 51.84°, γ = 90.00°
Fractional coordinates of all 8 atoms:
Ru1 0.6409 0.1250 0.2500
Ru2 0.1091 0.6250 0.2500
Ru3 0.3750 0.3591 0.7500
Ru4 0.8750 0.8909 0.7500
Tc1 0.0000 0.0000 0.0000
Tc2 0.7500 0.2500 0.5000
Al1 0.5000 0.5000 0.0000
Al2 0.2500 0.7500 0.5000

Calculated values
- density (kg/m³) = 8617
- D(E_F) (states/eV/f.u.) = 3.9
- formation energy from the elements (eV/atom) = 0.48
- crystal system = tetragonal
- total magnetization (μB/f.u.) = 0.0
- electronic total energy (eV/atom) = -7.68
- space group = No. 122

=====

# 4
Material: Cd2TeCl
Method: DFT, PBE-GGA
State: relaxed

a = 9.9450 Å, b = 9.9450 Å, c = 9.9450 Å
α = 21.36°, β = 21.36°, γ = 21.36°
Fractional coordinates of all 4 atoms:
Cl1 0.5275 0.5275 0.5275
Te1 0.7312 0.7312 0.7312
Cd1 0.9915 0.9915 0.9915
Cd2 0.2498 0.2498 0.2498

Calculated values
- density (kg/m³) = 5635
- D(E_F) (states/eV/f.u.) = 2.1
- crystal system = trigonal
- total magnetization (μB/f.u.) = 0.0
- formation energy without anion corrections (eV/atom) = -0.32
- electronic total energy (eV/atom) = -2.03
- space group = No. 160

=====

Question: Among the records above, which one has the lowest D(E_F)?
Answer: Cd2TeCl

=====

Question: Look up the density of the second one.
Answer: 7692 kg/m³